Record 1
PuNpB: optimized geometry, GGA-PBE.

## Properties
- Uncorrected energy: -137.3 eV for the cell shown
- Formation energy from the elements: -0.378 eV per formula unit
- M_tot: 0.00 Bohr magnetons per cell

```
data_PuNpB
_space_group_name_H-M_alt 'C 1 2/m 1'
_space_group_IT_number 12
_space_group_name_Hall '-C 2y'
_cell_length_a 10.2598
_cell_length_b 3.5443
_cell_length_c 5.1497
_cell_angle_alpha 90.00
_cell_angle_beta 106.43
_cell_angle_gamma 90.00
loop_
_atom_site_label
_atom_site_type_symbol
_atom_site_fract_x
_atom_site_fract_y
_atom_site_fract_z
_atom_site_occupancy
Pu1 Pu 0.0545 0.0000 0.2347 1
Np1 Np 0.2135 0.5000 0.2151 1
B1 B 0.0880 0.5000 0.6009 1
```

Record 2
PuNpB6: optimized geometry, GGA-PBE.

## Properties
- Density of states at the Fermi level: 8.482 states/eV/f.u.
- Uncorrected energy: -134.7 eV for the cell shown
- Formation energy from the elements: 0.004 eV per formula unit
- M_tot: 14.50 Bohr magnetons per cell

```
data_PuNpB6
_space_group_name_H-M_alt 'C 1 2/m 1'
_space_group_IT_number 12
_space_group_name_Hall '-C 2y'
_cell_length_a 9.1238
_cell_length_b 4.4950
_cell_length_c 4.0847
_cell_angle_alpha 90.00
_cell_angle_beta 91.58
_cell_angle_gamma 90.00
loop_
_atom_site_label
_atom_site_type_symbol
_atom_site_fract_x
_atom_site_fract_y
_atom_site_fract_z
_atom_site_occupancy
Pu1 Pu 0.0000 0.0000 0.0000 1
Np1 Np 0.0000 0.5000 0.5000 1
B1 B 0.1759 0.5000 0.9816 1
B2 B 0.2336 0.2057 0.7035 1
```

Record 3
PuNpB12: optimized geometry, GGA-PBE.

## Properties
- Density of states at the Fermi level: 21.579 states/eV/f.u.
- Uncorrected energy: -111.8 eV for the cell shown
- Formation energy from the elements: -4.432 eV per formula unit
- M_tot: 9.54 Bohr magnetons per cell

```
data_PuNpB12
_space_group_name_H-M_alt 'P 4/m m m'
_space_group_IT_number 123
_space_group_name_Hall '-P 4 2'
_cell_length_a 4.1009
_cell_length_b 4.1009
_cell_length_c 8.2041
_cell_angle_alpha 90.00
_cell_angle_beta 90.00
_cell_angle_gamma 90.00
loop_
_atom_site_label
_atom_site_type_symbol
_atom_site_fract_x
_atom_site_fract_y
_atom_site_fract_z
_atom_site_occupancy
Pu1 Pu 0.0000 0.0000 0.0000 1
Np1 Np 0.0000 0.0000 0.5000 1
B1 B 0.1984 0.5000 0.2507 1
B2 B 0.5000 0.5000 0.0994 1
B3 B 0.5000 0.5000 0.4011 1
```

Record 4
Rb2NpB2S6: optimized geometry, GGA-PBE.

## Properties
- Density of states at the Fermi level: 6.780 states/eV/f.u.
- Uncorrected energy: -188.2 eV for the cell shown
- ΔE_f (raw): -885 meV per atom
- M_tot: 9.00 Bohr magnetons per cell

```
data_Rb2NpB2S6
_space_group_name_H-M_alt 'R -3 m'
_space_group_IT_number 166
_space_group_name_Hall '-R 3 2"'
_cell_length_a 6.8471
_cell_length_b 6.8471
_cell_length_c 21.4444
_cell_angle_alpha 90.00
_cell_angle_beta 90.00
_cell_angle_gamma 120.00
loop_
_atom_site_label
_atom_site_type_symbol
_atom_site_fract_x
_atom_site_fract_y
_atom_site_fract_z
_atom_site_occupancy
Rb1 Rb 0.0000 0.0000 0.2236 1
Np1 Np 0.0000 0.0000 0.0000 1
B1 B 0.0000 0.0000 0.4050 1
S1 S 0.0268 0.5134 0.2574 1
```

Record 5
Rb2NpBS5: optimized geometry, GGA-PBE.

## Properties
- Density of states at the Fermi level: 4.444 states/eV/f.u.
- Uncorrected energy: -201.4 eV for the cell shown
- ΔE_f (raw): -908 meV per atom
- M_tot: 8.00 Bohr magnetons per cell

```
data_Rb2NpBS5
_space_group_name_H-M_alt 'C m c 21'
_space_group_IT_number 36
_space_group_name_Hall 'C 2c -2'
_cell_length_a 4.0008
_cell_length_b 18.6020
_cell_length_c 14.1540
_cell_angle_alpha 90.00
_cell_angle_beta 90.00
_cell_angle_gamma 90.00
loop_
_atom_site_label
_atom_site_type_symbol
_atom_site_fract_x
_atom_site_fract_y
_atom_site_fract_z
_atom_site_occupancy
Rb1 Rb 0.0000 0.1221 0.0000 1
Rb2 Rb 0.0000 0.1239 0.3436 1
Np1 Np 0.0000 0.1854 0.6919 1
B1 B 0.0000 0.4205 0.0626 1
S1 S 0.0000 0.0524 0.6571 1
S2 S 0.0000 0.3149 0.3121 1
S3 S 0.0000 0.3161 0.6736 1
S4 S 0.0000 0.3217 0.0571 1
S5 S 0.0000 0.4828 0.9700 1
```

Record 6
RbNpBS4: optimized geometry, GGA-PBE.

## Properties
- Density of states at the Fermi level: 6.994 states/eV/f.u.
- Uncorrected energy: -88.5 eV for the cell shown
- ΔE_f (raw): -1024 meV per atom
- M_tot: 6.00 Bohr magnetons per cell

```
data_RbNpBS4
_space_group_name_H-M_alt 'P 1 21/m 1'
_space_group_IT_number 11
_space_group_name_Hall '-P 2yb'
_cell_length_a 5.9838
_cell_length_b 6.3227
_cell_length_c 9.1345
_cell_angle_alpha 90.00
_cell_angle_beta 108.75
_cell_angle_gamma 90.00
loop_
_atom_site_label
_atom_site_type_symbol
_atom_site_fract_x
_atom_site_fract_y
_atom_site_fract_z
_atom_site_occupancy
Rb1 Rb 0.2129 0.2500 0.4366 1
Np1 Np 0.3137 0.7500 0.0507 1
B1 B 0.1315 0.2500 0.8329 1
S1 S 0.1622 0.2500 0.0522 1
S2 S 0.1895 0.7500 0.3052 1
S3 S 0.2996 0.0047 0.7959 1
```

Record 7
NpReB4: optimized geometry, GGA-PBE.

## Properties
- Density of states at the Fermi level: 6.719 states/eV/f.u.
- Uncorrected energy: -219.2 eV for the cell shown
- Formation energy from the elements: -2.713 eV per formula unit
- M_tot: 11.32 Bohr magnetons per cell

```
data_NpReB4
_space_group_name_H-M_alt 'P b a m'
_space_group_IT_number 55
_space_group_name_Hall '-P 2 2ab'
_cell_length_a 5.9656
_cell_length_b 11.5482
_cell_length_c 3.5915
_cell_angle_alpha 90.00
_cell_angle_beta 90.00
_cell_angle_gamma 90.00
loop_
_atom_site_label
_atom_site_type_symbol
_atom_site_fract_x
_atom_site_fract_y
_atom_site_fract_z
_atom_site_occupancy
Np1 Np 0.1268 0.1502 0.0000 1
Re1 Re 0.1382 0.4073 0.0000 1
B1 B 0.0264 0.6923 0.5000 1
B2 B 0.1145 0.5469 0.5000 1
B3 B 0.1341 0.9685 0.5000 1
B4 B 0.2107 0.8126 0.5000 1
```

Record 8
NpRe4B4: optimized geometry, GGA-PBE.

## Properties
- Density of states at the Fermi level: 11.015 states/eV/f.u.
- Uncorrected energy: -182.6 eV for the cell shown
- Formation energy from the elements: -1.859 eV per formula unit
- M_tot: 7.86 Bohr magnetons per cell

```
data_NpRe4B4
_space_group_name_H-M_alt 'P 42/n'
_space_group_IT_number 86
_cell_length_a 7.4045
_cell_length_b 7.4045
_cell_length_c 4.2737
_cell_angle_alpha 90.00
_cell_angle_beta 90.00
_cell_angle_gamma 90.00
loop_
_space_group_symop_operation_xyz
'x,y,z'
'-x,-y,-z'
'-y,x+1/2,z+1/2'
'y,-x+1/2,-z+1/2'
'-x+1/2,-y+1/2,z'
'x+1/2,y+1/2,-z'
'y+1/2,-x,z+1/2'
'-y+1/2,x,-z+1/2'
loop_
_atom_site_label
_atom_site_type_symbol
_atom_site_fract_x
_atom_site_fract_y
_atom_site_fract_z
_atom_site_occupancy
Np1 Np 0.2500 0.2500 0.2500 1
Re1 Re 0.1197 0.6208 0.1192 1
B1 B 0.0613 0.9229 0.1200 1
```

Record 9
Np2ReB10: optimized geometry, GGA-PBE.

## Properties
- Density of states at the Fermi level: 16.661 states/eV/f.u.
- Uncorrected energy: -217.0 eV for the cell shown
- Formation energy from the elements: -3.384 eV per formula unit
- M_tot: 13.22 Bohr magnetons per cell

```
data_Np2ReB10
_space_group_name_H-M_alt 'P b a m'
_space_group_IT_number 55
_space_group_name_Hall '-P 2 2ab'
_cell_length_a 5.7154
_cell_length_b 11.3722
_cell_length_c 4.1490
_cell_angle_alpha 90.00
_cell_angle_beta 90.00
_cell_angle_gamma 90.00
loop_
_atom_site_label
_atom_site_type_symbol
_atom_site_fract_x
_atom_site_fract_y
_atom_site_fract_z
_atom_site_occupancy
Np1 Np 0.2260 0.1307 0.0000 1
Re1 Re 0.0000 0.5000 0.5000 1
B1 B 0.0679 0.3052 0.5000 1
B2 B 0.1164 0.9578 0.5000 1
B3 B 0.1236 0.8028 0.5000 1
B4 B 0.2301 0.3798 0.1984 1
```

Record 10
NpRe3B3: optimized geometry, GGA-PBE.

## Properties
- Density of states at the Fermi level: 8.783 states/eV/f.u.
- Uncorrected energy: -139.8 eV for the cell shown
- Formation energy from the elements: 0.404 eV per formula unit
- M_tot: 5.32 Bohr magnetons per cell

```
data_NpRe3B3
_space_group_name_H-M_alt 'P 1 21/m 1'
_space_group_IT_number 11
_space_group_name_Hall '-P 2yb'
_cell_length_a 6.8017
_cell_length_b 4.0669
_cell_length_c 7.2420
_cell_angle_alpha 90.00
_cell_angle_beta 111.94
_cell_angle_gamma 90.00
loop_
_atom_site_label
_atom_site_type_symbol
_atom_site_fract_x
_atom_site_fract_y
_atom_site_fract_z
_atom_site_occupancy
Np1 Np 0.1267 0.2500 0.3466 1
Re1 Re 0.2222 0.2500 0.9980 1
Re2 Re 0.3204 0.7500 0.7814 1
Re3 Re 0.4511 0.7500 0.2532 1
B1 B 0.1185 0.7500 0.0584 1
B2 B 0.1846 0.2500 0.7013 1
B3 B 0.4341 0.7500 0.5377 1
```

Record 11
NpReB4: optimized geometry, GGA-PBE.

## Properties
- Density of states at the Fermi level: 5.077 states/eV/f.u.
- Uncorrected energy: -191.3 eV for the cell shown
- Formation energy from the elements: 4.269 eV per formula unit
- M_tot: 3.91 Bohr magnetons per cell

```
data_NpReB4
_space_group_name_H-M_alt 'F -4 3 m'
_space_group_IT_number 216
_space_group_name_Hall 'F -4 2 3'
_cell_length_a 6.3549
_cell_length_b 6.3549
_cell_length_c 6.3549
_cell_angle_alpha 90.00
_cell_angle_beta 90.00
_cell_angle_gamma 90.00
loop_
_atom_site_label
_atom_site_type_symbol
_atom_site_fract_x
_atom_site_fract_y
_atom_site_fract_z
_atom_site_occupancy
Np1 Np 0.0000 0.0000 0.0000 1
Re1 Re 0.2500 0.2500 0.7500 1
B1 B 0.0996 0.0996 0.4004 1
```

Record 12
NpRe2B4: optimized geometry, GGA-PBE.

## Properties
- Density of states at the Fermi level: 7.930 states/eV/f.u.
- Uncorrected energy: -259.8 eV for the cell shown
- Formation energy from the elements: -0.398 eV per formula unit
- M_tot: 9.52 Bohr magnetons per cell

```
data_NpRe2B4
_space_group_name_H-M_alt 'C 1 2/c 1'
_space_group_IT_number 15
_space_group_name_Hall '-C 2yc'
_cell_length_a 11.3051
_cell_length_b 5.5428
_cell_length_c 5.6176
_cell_angle_alpha 90.00
_cell_angle_beta 110.50
_cell_angle_gamma 90.00
loop_
_atom_site_label
_atom_site_type_symbol
_atom_site_fract_x
_atom_site_fract_y
_atom_site_fract_z
_atom_site_occupancy
Np1 Np 0.0000 0.2321 0.2500 1
Re1 Re 0.2387 0.4284 0.1775 1
B1 B 0.0849 0.3320 0.7951 1
B2 B 0.1288 0.1036 0.0095 1
```

Record 13
NpReB3: optimized geometry, GGA-PBE.

## Properties
- Density of states at the Fermi level: 4.028 states/eV/f.u.
- Uncorrected energy: -186.9 eV for the cell shown
- Formation energy from the elements: -1.302 eV per formula unit
- M_tot: 9.30 Bohr magnetons per cell

```
data_NpReB3
_space_group_name_H-M_alt 'C m c m'
_space_group_IT_number 63
_space_group_name_Hall '-C 2c 2'
_cell_length_a 3.8010
_cell_length_b 18.6396
_cell_length_c 3.0303
_cell_angle_alpha 90.00
_cell_angle_beta 90.00
_cell_angle_gamma 90.00
loop_
_atom_site_label
_atom_site_type_symbol
_atom_site_fract_x
_atom_site_fract_y
_atom_site_fract_z
_atom_site_occupancy
Np1 Np 0.0000 0.0702 0.2500 1
Re1 Re 0.0000 0.2040 0.7500 1
B1 B 0.0000 0.3235 0.7500 1
B2 B 0.0000 0.3733 0.2500 1
B3 B 0.0000 0.4747 0.2500 1
```

Record 14
NpBRh6: optimized geometry, GGA-PBE.

## Properties
- Density of states at the Fermi level: 17.556 states/eV/f.u.
- Uncorrected energy: -192.5 eV for the cell shown
- Formation energy from the elements: -0.444 eV per formula unit
- M_tot: 7.60 Bohr magnetons per cell

```
data_NpBRh6
_space_group_name_H-M_alt 'R -3 m'
_space_group_IT_number 166
_space_group_name_Hall '-R 3 2"'
_cell_length_a 5.5096
_cell_length_b 5.5096
_cell_length_c 14.5978
_cell_angle_alpha 90.00
_cell_angle_beta 90.00
_cell_angle_gamma 120.00
loop_
_atom_site_label
_atom_site_type_symbol
_atom_site_fract_x
_atom_site_fract_y
_atom_site_fract_z
_atom_site_occupancy
Np1 Np 0.0000 0.0000 0.0000 1
B1 B 0.0000 0.0000 0.5000 1
Rh1 Rh 0.0174 0.5087 0.9133 1
```

Record 15
Np2B7Rh12: optimized geometry, GGA-PBE.

## Properties
- Density of states at the Fermi level: 24.545 states/eV/f.u.
- Uncorrected energy: -167.9 eV for the cell shown
- Formation energy from the elements: -7.082 eV per formula unit
- M_tot: 4.78 Bohr magnetons per cell

```
data_Np2B7Rh12
_space_group_name_H-M_alt 'P -3'
_space_group_IT_number 147
_space_group_name_Hall '-P 3'
_cell_length_a 9.0134
_cell_length_b 9.0134
_cell_length_c 3.7657
_cell_angle_alpha 90.00
_cell_angle_beta 90.00
_cell_angle_gamma 120.00
loop_
_atom_site_label
_atom_site_type_symbol
_atom_site_fract_x
_atom_site_fract_y
_atom_site_fract_z
_atom_site_occupancy
Np1 Np 0.3333 0.6667 0.2480 1
B1 B 0.0000 0.0000 0.0000 1
B2 B 0.1065 0.3941 0.7463 1
Rh1 Rh 0.0721 0.6207 0.7480 1
Rh2 Rh 0.1110 0.8563 0.2452 1
```

Record 16
Np2BRh6: optimized geometry, GGA-PBE.

## Properties
- Density of states at the Fermi level: 13.175 states/eV/f.u.
- Uncorrected energy: -156.5 eV for the cell shown
- Formation energy from the elements: -1.573 eV per formula unit
- M_tot: 8.93 Bohr magnetons per cell

```
data_Np2BRh6
_space_group_name_H-M_alt 'I m m m'
_space_group_IT_number 71
_space_group_name_Hall '-I 2 2'
_cell_length_a 3.6032
_cell_length_b 6.6688
_cell_length_c 12.5636
_cell_angle_alpha 90.00
_cell_angle_beta 90.00
_cell_angle_gamma 90.00
loop_
_atom_site_label
_atom_site_type_symbol
_atom_site_fract_x
_atom_site_fract_y
_atom_site_fract_z
_atom_site_occupancy
Np1 Np 0.0000 0.0000 0.1463 1
B1 B 0.0000 0.0000 0.5000 1
Rh1 Rh 0.0000 0.2105 0.3370 1
Rh2 Rh 0.0000 0.3001 0.0000 1
```

Record 17
NpB3Rh6: optimized geometry, GGA-PBE.

## Properties
- Density of states at the Fermi level: 11.146 states/eV/f.u.
- Uncorrected energy: -240.9 eV for the cell shown
- Formation energy from the elements: -3.202 eV per formula unit
- M_tot: 6.46 Bohr magnetons per cell

```
data_NpB3Rh6
_space_group_name_H-M_alt 'R 3'
_space_group_IT_number 146
_space_group_name_Hall 'R 3'
_cell_length_a 5.4416
_cell_length_b 5.4416
_cell_length_c 15.6320
_cell_angle_alpha 90.00
_cell_angle_beta 90.00
_cell_angle_gamma 120.00
loop_
_atom_site_label
_atom_site_type_symbol
_atom_site_fract_x
_atom_site_fract_y
_atom_site_fract_z
_atom_site_occupancy
Np1 Np 0.0000 0.0000 0.0000 1
B1 B 0.0000 0.0000 0.2995 1
B2 B 0.0000 0.0000 0.6330 1
B3 B 0.0000 0.0000 0.8327 1
Rh1 Rh 0.9998 0.5295 0.0631 1
Rh2 Rh 0.0623 0.3346 0.2152 1
```

Record 18
NpB4Rh: optimized geometry, GGA-PBE.

## Properties
- Density of states at the Fermi level: 4.384 states/eV/f.u.
- Uncorrected energy: -198.5 eV for the cell shown
- Formation energy from the elements: -2.620 eV per formula unit
- M_tot: 12.83 Bohr magnetons per cell

```
data_NpB4Rh
_space_group_name_H-M_alt 'P b a m'
_space_group_IT_number 55
_space_group_name_Hall '-P 2 2ab'
_cell_length_a 6.0139
_cell_length_b 11.6675
_cell_length_c 3.4929
_cell_angle_alpha 90.00
_cell_angle_beta 90.00
_cell_angle_gamma 90.00
loop_
_atom_site_label
_atom_site_type_symbol
_atom_site_fract_x
_atom_site_fract_y
_atom_site_fract_z
_atom_site_occupancy
Np1 Np 0.1288 0.1497 0.0000 1
B1 B 0.0259 0.6925 0.5000 1
B2 B 0.1159 0.5472 0.5000 1
B3 B 0.1326 0.9673 0.5000 1
B4 B 0.2110 0.8121 0.5000 1
Rh1 Rh 0.1384 0.4080 0.0000 1
```

Record 19
Np2BRh6: optimized geometry, GGA-PBE.

## Properties
- Density of states at the Fermi level: 25.350 states/eV/f.u.
- Uncorrected energy: -323.9 eV for the cell shown
- Formation energy from the elements: -4.312 eV per formula unit
- M_tot: 16.23 Bohr magnetons per cell

```
data_Np2BRh6
_space_group_name_H-M_alt 'F m -3 m'
_space_group_IT_number 225
_space_group_name_Hall '-F 4 2 3'
_cell_length_a 8.2375
_cell_length_b 8.2375
_cell_length_c 8.2375
_cell_angle_alpha 90.00
_cell_angle_beta 90.00
_cell_angle_gamma 90.00
loop_
_atom_site_label
_atom_site_type_symbol
_atom_site_fract_x
_atom_site_fract_y
_atom_site_fract_z
_atom_site_occupancy
Np1 Np 0.2500 0.2500 0.2500 1
B1 B 0.0000 0.0000 0.0000 1
Rh1 Rh 0.0000 0.0000 0.2560 1
```